Nd2ErMg: optimized geometry, PBE-GGA.

Cell and atoms, written as extended XYZ:
```
4
Lattice="0.0000 3.9558 3.9558 3.9558 0.0000 3.9558 3.9558 3.9558 0.0000" Properties=species:S:1:pos:R:3 pbc="T T T"
Nd 1.9779 1.9779 1.9779
Nd 5.9337 5.9337 5.9337
Er 0.0000 0.0000 0.0000
Mg 3.9558 3.9558 3.9558
```

Output
**E_form**: 0.013 eV per atom
**Excess energy over the best structure of this formula in the dataset**: 0.0423 eV per atom
**Density of states at the Fermi level**: 1.081 states/eV/atom
**E**: -3.910 eV/atom

NdEr3Mg4: optimized geometry, PBE-GGA.

Cell and atoms, written as extended XYZ:
```
16
Lattice="10.7106 0.0000 0.0000 0.0000 7.6109 0.0000 0.0000 0.0000 5.3547" Properties=species:S:1:pos:R:3 pbc="T T T"
Nd 0.0000 0.0000 0.0000
Nd 5.3553 0.0000 0.0000
Er 0.0000 3.8055 0.0000
Er 2.6777 0.0000 2.6671
Er 2.6777 3.8055 2.6655
Er 5.3553 3.8055 0.0000
Er 8.0330 0.0000 2.6876
Er 8.0330 3.8055 2.6892
Mg 0.0000 1.9384 2.6773
Mg 0.0000 5.6725 2.6773
Mg 2.6777 1.9387 5.3409
Mg 2.6777 5.6722 5.3409
Mg 5.3553 1.9384 2.6773
Mg 5.3553 5.6725 2.6773
Mg 8.0330 1.9387 0.0138
Mg 8.0330 5.6722 0.0138
```

Output
**E_form**: -0.077 eV per atom
**Density of states at the Fermi level**: 1.166 states/eV/atom
**E**: -3.181 eV/atom

NdEr2Mg: optimized geometry, PBE-GGA.

Cell and atoms, written as extended XYZ:
```
8
Lattice="-2.5495 2.5495 9.2367 2.5495 -2.5495 9.2367 2.5495 2.5495 -9.2367" Properties=species:S:1:pos:R:3 pbc="T T T"
Nd 0.0000 0.0000 2.3868
Nd 0.0000 0.0000 16.0866
Er 2.5495 0.0000 0.0000
Er 0.0000 0.0000 6.7678
Er 0.0000 2.5495 0.0000
Er 0.0000 0.0000 11.7056
Mg 2.5495 0.0000 4.6184
Mg 0.0000 2.5495 4.6184
```

Output
**E_form**: -0.028 eV per atom
**Excess energy over the best structure of this formula in the dataset**: 0.0000 eV per atom
**Density of states at the Fermi level**: 1.053 states/eV/atom
**E**: -3.900 eV/atom